Run one
Here is an optimized crystal structure of Co2MoW from Alexandria. Energies are from GGA-PBEsol.

Its calculated density is 12.898 g cm⁻³.

It has space group P4mm (No. 99), with a = 3.0656 Å, b = 3.0656 Å, c = 5.4475 Å, α = 90.00°, β = 90.00° and γ = 90.00°. The asymmetric unit holds Co at (0.0000, 0.0000, 0.0000), Co at (0.5000, 0.5000, 0.2483), Mo at (0.0000, 0.0000, 0.4670) and W at (0.5000, 0.5000, 0.7785).

Run two
Here is an optimized crystal structure of Co2MoW from Alexandria. Energies are from GGA-PBEsol.

Its calculated density is 13.126 g cm⁻³.

It has space group I4/mmm (No. 139), with a = 3.7101 Å, b = 3.7101 Å, c = 7.3093 Å, α = 90.00°, β = 90.00° and γ = 90.00°. The asymmetric unit holds Co at (0.0000, 0.5000, 0.2500), Mo at (0.0000, 0.0000, 0.0000) and W at (0.0000, 0.0000, 0.5000).

Run three
Here is an optimized crystal structure of Co2MoW from Alexandria. Energies are from GGA-PBEsol.

Its calculated density is 12.731 g cm⁻³.

It has space group Fm-3m (No. 225), with a = 5.9199 Å, b = 5.9199 Å, c = 5.9199 Å, α = 90.00°, β = 90.00° and γ = 90.00°. The asymmetric unit holds Co at (0.2500, 0.2500, 0.2500), Mo at (0.0000, 0.0000, 0.0000) and W at (0.0000, 0.0000, 0.5000).

Most stable structure, least stable structure: run two, run three.

Run one
Here is an optimized crystal structure of CoMoW2 from Alexandria. Energies are from GGA-PBEsol.

Its calculated density is 15.058 g cm⁻³.

It has space group Pmm2 (No. 25), with a = 2.6372 Å, b = 3.8746 Å, c = 5.6396 Å, α = 90.00°, β = 90.00° and γ = 90.00°. The asymmetric unit holds Co at (0.0000, 0.0000, 0.0000), Mo at (0.5000, 0.5000, 0.2354), W at (0.0000, 0.0000, 0.5002) and W at (0.5000, 0.5000, 0.7695).

Run two
Here is an optimized crystal structure of CoMoW2 from Alexandria. Energies are from GGA-PBEsol.

Its calculated density is 15.169 g cm⁻³.

It has space group I4/mmm (No. 139), with a = 3.8304 Å, b = 3.8304 Å, c = 7.7978 Å, α = 90.00°, β = 90.00° and γ = 90.00°. The asymmetric unit holds Co at (0.0000, 0.0000, 0.0000), Mo at (0.0000, 0.0000, 0.5000) and W at (0.0000, 0.5000, 0.2500).

Most stable structure, least stable structure: run two, run one.